#a
Below is a geometry-optimized YZr2Ni2 structure, with properties calculated at the PBE level.

```
YZr2Ni2
1.0
-3.600 -4.123 -5.195
6.574 -3.002 -2.173
-0.394 -2.489 2.248
Zr Ni Y
4 4 2
direct
0.839 0.339 0.500
0.161 0.661 0.500
0.661 0.839 0.500
0.339 0.161 0.500
0.620 0.120 0.000
0.380 0.880 0.000
0.880 0.620 0.000
0.120 0.380 0.000
0.000 0.000 0.000
0.500 0.500 0.000
```

#b
Below is a geometry-optimized YZr2Ni2 structure, with properties calculated at the PBE level.

```
YZr2Ni2
1.0
-3.429 1.176 6.913
-0.303 -7.712 1.162
2.775 0.096 1.360
Ni Zr Y
4 4 2
direct
0.856 0.356 0.500
0.356 0.144 0.500
0.144 0.644 0.500
0.644 0.856 0.500
0.852 0.648 0.000
0.148 0.352 0.000
0.352 0.852 0.000
0.648 0.148 0.000
0.000 0.000 0.000
0.500 0.500 0.000
```

Relative to the most stable structure, the computed energies are #a 0; #b 148, all in meV/atom.

#a
Below is a geometry-optimized Y3ZrNi structure, with properties calculated at the PBE level.

```
Y3ZrNi
1.0
5.415 0.000 0.000
0.000 5.415 0.000
0.000 0.000 5.415
Ni Zr Y
1 1 3
direct
0.500 0.500 0.500
0.000 0.000 0.000
0.500 0.000 0.000
0.000 0.000 0.500
0.000 0.500 0.000
```

#b
Below is a geometry-optimized Y3ZrNi structure, with properties calculated at the PBE level.

```
Y3ZrNi
1.0
5.232 0.000 0.000
0.000 5.232 0.000
0.000 0.000 5.232
Y Zr Ni
3 1 1
direct
0.500 0.000 0.000
0.000 0.000 0.500
0.000 0.500 0.000
0.500 0.500 0.500
0.000 0.000 0.000
```

Relative to the most stable structure, the computed energies are #a 866; #b 0, all in meV/atom.

#a
Below is a geometry-optimized YZr3Ni structure, with properties calculated at the PBE level.

```
YZr3Ni
1.0
5.134 0.000 0.000
0.000 5.134 0.000
0.000 0.000 5.134
Ni Zr Y
1 3 1
direct
0.500 0.500 0.500
0.000 0.000 0.500
0.500 0.000 0.000
0.000 0.500 0.000
0.000 0.000 0.000
```

#b
Below is a geometry-optimized YZr3Ni structure, with properties calculated at the PBE level.

```
YZr3Ni
1.0
-0.683 -3.663 -3.290
4.918 -0.347 -0.635
0.238 -3.342 3.672
Zr Ni Y
3 1 1
direct
0.000 0.500 0.000
0.500 0.000 0.000
0.000 0.000 0.500
0.000 0.000 0.000
0.500 0.500 0.500
```

Relative to the most stable structure, the computed energies are #a 1607; #b 0, all in meV/atom.